[1]
Below is crystalline TiZnGe2O6 at its relaxed geometry, with properties calculated at the PBE-GGA level.

Values from the calculation:
- Excess energy over the best structure of this formula in the dataset: 0.000 eV/atom
- Space group: P2_1/c
- Total moment: 0.00 μB per cell

a = 8.5995 Å, b = 5.3488 Å, c = 12.2347 Å
α = 80.36°, β = 90.00°, γ = 90.00°
Closest atoms and distances in Å follow each position.
Element x y z (fractional)
Ti: 0.3449 0.6577 0.2949  4 O 1.87-2.01
Ti: 0.8449 0.8423 0.7051  4 O 1.87-2.01
Ti: 0.6551 0.3423 0.7051  4 O 1.87-2.01
Ti: 0.1551 0.1577 0.2949  4 O 1.87-2.01
Zn: 0.5455 0.1725 0.2456  3 O 1.97-2.05
Zn: 0.0455 0.3275 0.7544  3 O 1.97-2.05
Zn: 0.4545 0.8275 0.7544  3 O 1.97-2.05
Zn: 0.9545 0.6725 0.2456  3 O 1.97-2.05
Ge: 0.6355 0.7085 0.0890  3 O 1.94-1.97
Ge: 0.1355 0.7915 0.9110  3 O 1.94-1.97
Ge: 0.3645 0.2915 0.9110  3 O 1.94-1.97
Ge: 0.8645 0.2085 0.0890  3 O 1.94-1.97
Ge: 0.6564 0.7568 0.4630  4 O 1.72-1.81
Ge: 0.1564 0.7432 0.5370  4 O 1.72-1.81
Ge: 0.3436 0.2432 0.5370  4 O 1.72-1.81
Ge: 0.8436 0.2568 0.4630  4 O 1.72-1.81
O: 0.7010 0.0781 0.3990  2 Ge 1.81
O: 0.2010 0.4219 0.6010  2 Ge 1.81
O: 0.2990 0.9219 0.6010  2 Ge 1.81
O: 0.7990 0.5781 0.3990  2 Ge 1.81
O: 0.6875 0.0025 0.1555  2 Ge 1.94-1.97, 1 Zn 1.97
O: 0.1875 0.4975 0.8445  2 Ge 1.94-1.97, 1 Zn 1.97
O: 0.3125 0.9975 0.8445  2 Ge 1.94-1.97, 1 Zn 1.97
O: 0.8125 0.5025 0.1555  2 Ge 1.94-1.97, 1 Zn 1.97
O: 0.0300 0.2189 0.4167  1 Ge 1.72, 1 Ti 1.91
O: 0.5300 0.2811 0.5833  1 Ge 1.72, 1 Ti 1.91
O: 0.9700 0.7811 0.5833  1 Ge 1.72, 1 Ti 1.91
O: 0.4700 0.7189 0.4167  1 Ge 1.72, 1 Ti 1.91
O: 0.9985 0.0406 0.2099  1 Ti 1.87, 1 Ge 1.97, 1 Zn 1.98
O: 0.4985 0.4594 0.7901  1 Ti 1.87, 1 Ge 1.97, 1 Zn 1.98
O: 0.0015 0.9594 0.7901  1 Ti 1.87, 1 Ge 1.97, 1 Zn 1.98
O: 0.5015 0.5406 0.2099  1 Ti 1.87, 1 Ge 1.97, 1 Zn 1.98
O: 0.6638 0.0008 0.7713  2 Ti 1.87-2.01, 1 Zn 2.05
O: 0.1638 0.4992 0.2287  2 Ti 1.87-2.01, 1 Zn 2.05
O: 0.3362 0.9992 0.2287  2 Ti 1.87-2.01, 1 Zn 2.05
O: 0.8362 0.5008 0.7713  2 Ti 1.87-2.01, 1 Zn 2.05
O: 0.6650 0.7188 0.6079  1 Ge 1.75
O: 0.1650 0.7812 0.3921  1 Ge 1.75
O: 0.3350 0.2812 0.3921  1 Ge 1.75
O: 0.8350 0.2188 0.6079  1 Ge 1.75

[2]
Below is crystalline TiZnGe2O6 at its relaxed geometry, with properties calculated at the PBE-GGA level.

Values from the calculation:
- Excess energy over the best structure of this formula in the dataset: 0.075 eV/atom
- Space group: C2/c
- Total moment: 0.00 μB per cell

a = 6.9855 Å, b = 6.9855 Å, c = 5.0518 Å
α = 79.69°, β = 79.69°, γ = 79.30°
Closest atoms and distances in Å follow each position.
Element x y z (fractional)
Ti: 0.8963 0.1037 0.7500  4 O 1.90-1.92
Ti: 0.1037 0.8963 0.2500  4 O 1.90-1.92
Zn: 0.3474 0.6526 0.7500  4 O 2.02-2.04
Zn: 0.6526 0.3474 0.2500  4 O 2.02-2.04
Ge: 0.4123 0.1610 0.8689  4 O 1.87-1.94
Ge: 0.8390 0.5877 0.6311  4 O 1.87-1.94
Ge: 0.5877 0.8390 0.1311  4 O 1.87-1.94
Ge: 0.1610 0.4123 0.3689  4 O 1.87-1.94
O: 0.3105 0.3962 0.6478  2 Ge 1.87-1.91, 1 Zn 2.02
O: 0.6038 0.6895 0.8522  2 Ge 1.87-1.91, 1 Zn 2.02
O: 0.6895 0.6038 0.3522  2 Ge 1.87-1.91, 1 Zn 2.02
O: 0.3962 0.3105 0.1478  2 Ge 1.87-1.91, 1 Zn 2.02
O: 0.1599 0.6538 0.1105  1 Ti 1.90, 1 Ge 1.94, 1 Zn 2.04
O: 0.3462 0.8401 0.3895  1 Ti 1.90, 1 Ge 1.94, 1 Zn 2.04
O: 0.8401 0.3462 0.8895  1 Ti 1.90, 1 Ge 1.94, 1 Zn 2.04
O: 0.6538 0.1599 0.6105  1 Ti 1.90, 1 Ge 1.94, 1 Zn 2.04
O: 0.1801 0.0477 0.9023  1 Ge 1.90, 1 Ti 1.92
O: 0.9523 0.8199 0.5977  1 Ge 1.90, 1 Ti 1.92
O: 0.8199 0.9523 0.0977  1 Ge 1.90, 1 Ti 1.92
O: 0.0477 0.1801 0.4023  1 Ge 1.90, 1 Ti 1.92

[3]
Below is crystalline ZrTi2GeO at its relaxed geometry, with properties calculated at the PBE-GGA level.

Values from the calculation:
- Space group: P4/mmm
- Total moment: 0.00 μB per cell

a = 4.0470 Å, b = 4.0470 Å, c = 4.6022 Å
α = 90.00°, β = 90.00°, γ = 90.00°
Closest atoms and distances in Å follow each position.
Element x y z (fractional)
Ge: 0.5000 0.5000 0.5000  4 Zr 2.86, 8 Ti 3.06
O: 0.0000 0.0000 0.0000  4 Ti 2.02
Zr: 0.0000 0.0000 0.5000  2 O 2.30
Ti: 0.0000 0.5000 0.0000  2 O 2.02
Ti: 0.5000 0.0000 0.0000  2 O 2.02

[4]
Below is crystalline ZrTiGe2O8 at its relaxed geometry, with properties calculated at the PBE-GGA level.

Values from the calculation:
- Space group: I-4m2
- Total moment: 0.00 μB per cell

a = 5.6457 Å, b = 5.6457 Å, c = 5.6457 Å
α = 108.06°, β = 108.06°, γ = 112.33°
Closest atoms and distances in Å follow each position.
Element x y z (fractional)
Zr: 0.0000 0.0000 0.0000  8 O 2.12-2.32
Ti: 0.2500 0.7500 0.5000  8 O 2.06-2.25
Ge: 0.7500 0.2500 0.5000  4 O 1.75
Ge: 0.5000 0.5000 0.0000  4 O 1.77
O: 0.3660 0.0499 0.3160  1 Ge 1.75
O: 0.3065 0.5008 0.1943  1 Ge 1.77
O: 0.3065 0.1122 0.8057  1 Ge 1.77
O: 0.7339 0.0499 0.6840  1 Ge 1.75
O: 0.8878 0.6935 0.1943  1 Ge 1.77
O: 0.9501 0.2661 0.3160  1 Ge 1.75
O: 0.9501 0.6340 0.6840  1 Ge 1.75
O: 0.4992 0.6935 0.8057  1 Ge 1.77

[5]
Below is crystalline TlGe3O at its relaxed geometry, with properties calculated at the PBE-GGA level.

Values from the calculation:
- Excess energy over the best structure of this formula in the dataset: 0.000 eV/atom
- Space group: Pm-3m
- Total moment: 0.00 μB per cell

a = 4.6018 Å, b = 4.6018 Å, c = 4.6018 Å
α = 90.00°, β = 90.00°, γ = 90.00°
Closest atoms and distances in Å follow each position.
Element x y z (fractional)
Tl: 0.5000 0.5000 0.5000  12 Ge 3.25
Ge: 0.0000 0.5000 0.0000  2 O 2.30
Ge: 0.0000 0.0000 0.5000  2 O 2.30
Ge: 0.5000 0.0000 0.0000  2 O 2.30
O: 0.0000 0.0000 0.0000  6 Ge 2.30

[6]
Below is crystalline TlGe4O8 at its relaxed geometry, with properties calculated at the PBE-GGA level.

Values from the calculation:
- Space group: P-31m
- Total moment: 0.00 μB per cell

a = 5.6370 Å, b = 5.6370 Å, c = 8.2324 Å
α = 90.00°, β = 90.00°, γ = 120.00°
Closest atoms and distances in Å follow each position.
Element x y z (fractional)
Tl: 0.0000 0.0000 0.0000  12 O 3.24-3.25
Ge: 0.6667 0.3333 0.2190  4 O 1.80
Ge: 0.3333 0.6667 0.2190  4 O 1.80
Ge: 0.6667 0.3333 0.7810  4 O 1.80
Ge: 0.3333 0.6667 0.7810  4 O 1.80
O: 0.6000 0.0000 0.2832  2 Ge 1.80
O: 0.4000 0.4000 0.2832  2 Ge 1.80
O: 0.0000 0.6000 0.2832  2 Ge 1.80
O: 0.4000 0.0000 0.7168  2 Ge 1.80
O: 0.0000 0.4000 0.7168  2 Ge 1.80
O: 0.6000 0.6000 0.7168  2 Ge 1.80
O: 0.6667 0.3333 0.0000  2 Ge 1.80
O: 0.3333 0.6667 0.0000  2 Ge 1.80

[7]
Below is crystalline TlGe2O4 at its relaxed geometry, with properties calculated at the PBE-GGA level.

Values from the calculation:
- Excess energy over the best structure of this formula in the dataset: 0.212 eV/atom
- Space group: I4/m
- Total moment: 0.00 μB per cell

a = 5.4076 Å, b = 6.3428 Å, c = 6.3428 Å
α = 79.53°, β = 64.77°, γ = 64.77°
Closest atoms and distances in Å follow each position.
Element x y z (fractional)
Tl: 0.5000 0.0000 0.0000  4 O 2.86
Ge: 0.2500 0.5000 0.5000  4 O 1.87
Ge: 0.7500 0.5000 0.5000  4 O 1.87
O: 0.5485 0.6023 0.3006  2 Ge 1.87
O: 0.1509 0.3006 0.3977  2 Ge 1.87
O: 0.8491 0.6994 0.6023  2 Ge 1.87
O: 0.4515 0.3977 0.6994  2 Ge 1.87

[8]
Below is crystalline Tl3GeO4 at its relaxed geometry, with properties calculated at the PBE-GGA level.

Values from the calculation:
- Space group: Imm2
- Total moment: 0.00 μB per cell

a = 5.9121 Å, b = 5.9121 Å, c = 5.9121 Å
α = 94.40°, β = 117.11°, γ = 117.87°
Closest atoms and distances in Å follow each position.
Element x y z (fractional)
Tl: 0.5354 0.2267 0.7620  3 O 2.39-2.63
Tl: 0.0328 0.0000 0.0328  4 O 2.50-2.64
Tl: 0.5354 0.7733 0.3087  3 O 2.39-2.63
Ge: 0.0093 0.5000 0.5093  4 O 1.78-1.80
O: 0.1655 0.6869 0.8524  1 Ge 1.78
O: 0.1655 0.3131 0.4785  1 Ge 1.78
O: 0.6049 0.2513 0.3536  1 Ge 1.80
O: 0.1023 0.7487 0.3536  1 Ge 1.80

[9]
Below is crystalline Tl3GeO at its relaxed geometry, with properties calculated at the PBE-GGA level.

Values from the calculation:
- Excess energy over the best structure of this formula in the dataset: 0.000 eV/atom
- Space group: Pm-3m
- Total moment: 0.00 μB per cell

a = 5.0227 Å, b = 5.0227 Å, c = 5.0227 Å
α = 90.00°, β = 90.00°, γ = 90.00°
Closest atoms and distances in Å follow each position.
Element x y z (fractional)
Tl: 0.0000 0.5000 0.0000  2 O 2.51
Tl: 0.0000 0.0000 0.5000  2 O 2.51
Tl: 0.5000 0.0000 0.0000  2 O 2.51
Ge: 0.5000 0.5000 0.5000  12 Tl 3.55
O: 0.0000 0.0000 0.0000  6 Tl 2.51

[10]
Below is crystalline TlGe2O4 at its relaxed geometry, with properties calculated at the PBE-GGA level.

Values from the calculation:
- Excess energy over the best structure of this formula in the dataset: 0.000 eV/atom
- Space group: Cm
- Total moment: 0.00 μB per cell

a = 5.8784 Å, b = 8.2743 Å, c = 8.2748 Å
α = 138.36°, β = 109.78°, γ = 90.99°
Closest atoms and distances in Å follow each position.
Element x y z (fractional)
Tl: 0.2276 0.7561 0.4714  3 O 2.44-2.45
Tl: 0.0067 0.0088 0.9980  3 O 2.57-2.58
Ge: 0.6194 0.3789 0.7561  6 O 1.85-2.04
Ge: 0.6194 0.8634 0.2405  6 O 1.85-2.04
Ge: 0.6934 0.3200 0.3735  3 O 1.93
Ge: 0.1347 0.3788 0.7559  6 O 1.85-2.04
O: 0.8885 0.1175 0.3342  3 Ge 1.93-2.04
O: 0.3342 0.6582 0.1518  2 Ge 1.85
O: 0.8885 0.5544 0.7711  3 Ge 1.93-2.04
O: 0.8280 0.1642 0.6637  3 Ge 1.98
O: 0.4512 0.1172 0.3340  3 Ge 1.93-2.04
O: 0.3342 0.1823 0.6760  2 Ge 1.85
O: 0.4136 0.5918 0.8219  3 Ge 1.99
O: 0.8106 0.6584 0.1521  2 Ge 1.85

[11]
Below is crystalline TlGe2O at its relaxed geometry, with properties calculated at the PBE-GGA level.

Values from the calculation:
- Excess energy over the best structure of this formula in the dataset: 0.000 eV/atom
- Space group: I-42d
- Total moment: 0.00 μB per cell

a = 5.1055 Å, b = 5.1055 Å, c = 7.6561 Å
α = 70.52°, β = 70.52°, γ = 90.00°
Closest atoms and distances in Å follow each position.
Element x y z (fractional)
Tl: 0.0000 0.0000 0.0000  4 Ge 2.96
Tl: 0.7500 0.2500 0.5000  4 Ge 2.96
Ge: 0.4684 0.1250 0.2500  2 O 2.17
Ge: 0.2816 0.6250 0.2500  2 O 2.17
Ge: 0.3750 0.5316 0.7500  2 O 2.17
Ge: 0.8750 0.7184 0.7500  2 O 2.17
O: 0.5000 0.5000 0.0000  4 Ge 2.17
O: 0.2500 0.7500 0.5000  4 Ge 2.17

[12]
Below is crystalline Tl2Ge2O5 at its relaxed geometry, with properties calculated at the PBE-GGA level.

Values from the calculation:
- Space group: C2/m
- Total moment: 0.00 μB per cell

a = 3.8545 Å, b = 5.5703 Å, c = 7.2388 Å
α = 97.20°, β = 90.00°, γ = 110.24°
Closest atoms and distances in Å follow each position.
Element x y z (fractional)
Tl: 0.3859 0.7717 0.6184  3 O 2.69-2.78
Tl: 0.6141 0.2283 0.3816  3 O 2.69-2.78
Ge: 0.1492 0.2984 0.9037  3 O 1.74-1.88
Ge: 0.8508 0.7016 0.0963  3 O 1.74-1.88
O: 0.3130 0.6260 0.0470  3 Ge 1.88-1.99
O: 0.6870 0.3740 0.9530  3 Ge 1.88-1.99
O: 0.1338 0.2677 0.6607  1 Ge 1.74
O: 0.8662 0.7323 0.3393  1 Ge 1.74
O: 0.0000 0.0000 0.0000  2 Ge 1.79

Formation energy (no corrections), respectively: -1888.2, -1813.0, -1231.8, -2311.4, 17.0, -1366.5, -1121.2, -959.7, 91.4, -1333.7, -121.2, -1239.0 meV/atom.
Electronic total energy, respectively: -268.14, -132.57, -40.07, -93.08, -21.09, -78.27, -39.28, -39.23, -16.22, -81.54, -34.09, -49.91 eV per cell.